No. 1
A geometry-optimized Re2TcW structure, computed with PBE. Values from VASP.

Quantum ESPRESSO input file:
```
&SYSTEM
  ibrav = 0, nat = 4, ntyp = 3
/
ATOMIC_SPECIES
Re 186.21 Re.upf
Tc 98.00 Tc.upf
W 183.84 W.upf
CELL_PARAMETERS angstrom
4.6280 -1.3914 0.0000
4.6280 1.3914 0.0000
-0.8231 0.0000 4.7319
ATOMIC_POSITIONS angstrom
Re 2.0704 0.0000 1.1511
Re 6.3624 0.0000 3.5808
Tc 4.6280 0.0000 0.0000
W -0.4116 0.0000 2.3659
```

* magnetization: 0.00 μB/f.u.
* space-group type: C2/m (12)

=====

No. 2
A geometry-optimized Re2TcW structure, computed with PBE. Values from VASP.

Quantum ESPRESSO input file:
```
&SYSTEM
  ibrav = 0, nat = 4, ntyp = 3
/
ATOMIC_SPECIES
Re 186.21 Re.upf
Tc 98.00 Tc.upf
W 183.84 W.upf
CELL_PARAMETERS angstrom
2.7694 0.0000 0.0000
0.0000 3.9536 0.0000
0.0000 0.0000 5.5701
ATOMIC_POSITIONS angstrom
Re 0.0000 0.0000 1.3511
Re 0.0000 0.0000 4.2190
Tc 1.3847 1.9768 0.0000
W 1.3847 1.9768 2.7850
```

* magnetization: 0.00 μB/f.u.
* space-group type: Pmmm (47)

=====

No. 3
A geometry-optimized Re2TcW structure, computed with PBE. Values from VASP.

Quantum ESPRESSO input file:
```
&SYSTEM
  ibrav = 0, nat = 4, ntyp = 3
/
ATOMIC_SPECIES
Re 186.21 Re.upf
Tc 98.00 Tc.upf
W 183.84 W.upf
CELL_PARAMETERS angstrom
2.7274 0.0000 0.0000
0.0000 4.3373 0.0000
-1.2126 0.0000 5.1784
ATOMIC_POSITIONS angstrom
Re 0.1959 0.0000 1.2882
Re 1.3189 0.0000 3.8902
Tc 1.3637 2.1686 0.0000
W -0.6063 2.1686 2.5892
```

* magnetization: 0.00 μB/f.u.
* space-group type: P2/m (10)

=====

No. 4
A geometry-optimized Re2TcW structure, computed with PBE. Values from VASP.

Quantum ESPRESSO input file:
```
&SYSTEM
  ibrav = 0, nat = 4, ntyp = 3
/
ATOMIC_SPECIES
Re 186.21 Re.upf
Tc 98.00 Tc.upf
W 183.84 W.upf
CELL_PARAMETERS angstrom
4.4458 0.0000 0.0000
0.0000 4.4458 0.0000
0.0000 0.0000 3.0901
ATOMIC_POSITIONS angstrom
Re 0.0000 2.2229 0.0000
Re 2.2229 0.0000 0.0000
Tc 0.0000 0.0000 1.5450
W 2.2229 2.2229 1.5450
```

* magnetization: 0.00 μB/f.u.
* space-group type: P4/mmm (123)

=====

No. 5
A geometry-optimized ReTcW structure, computed with PBE. Values from VASP.

Quantum ESPRESSO input file:
```
&SYSTEM
  ibrav = 0, nat = 3, ntyp = 3
/
ATOMIC_SPECIES
Re 186.21 Re.upf
Tc 98.00 Tc.upf
W 183.84 W.upf
CELL_PARAMETERS angstrom
-1.3952 1.9681 4.1864
1.3952 -1.9681 4.1864
1.3952 1.9681 -4.1864
ATOMIC_POSITIONS angstrom
Re 0.0000 0.0000 0.0000
Tc 0.0000 0.0000 5.5246
W 0.0000 0.0000 2.7581
```

* magnetization: 0.00 μB/f.u.
* space-group type: Imm2 (44)

=====

No. 6
A geometry-optimized ReTcW structure, computed with PBE. Values from VASP.

Quantum ESPRESSO input file:
```
&SYSTEM
  ibrav = 0, nat = 3, ntyp = 3
/
ATOMIC_SPECIES
Re 186.21 Re.upf
Tc 98.00 Tc.upf
W 183.84 W.upf
CELL_PARAMETERS angstrom
-1.3879 1.3879 5.9813
1.3879 -1.3879 5.9813
1.3879 1.3879 -5.9813
ATOMIC_POSITIONS angstrom
Re 0.0000 0.0000 0.0000
Tc 0.0000 0.0000 7.8032
W 0.0000 0.0000 3.8905
```

* magnetization: 0.00 μB/f.u.
* space-group type: I4mm (107)

=====

No. 7
A geometry-optimized Re2TcW structure, computed with PBE. Values from VASP.

Quantum ESPRESSO input file:
```
&SYSTEM
  ibrav = 0, nat = 4, ntyp = 3
/
ATOMIC_SPECIES
Re 186.21 Re.upf
Tc 98.00 Tc.upf
W 183.84 W.upf
CELL_PARAMETERS angstrom
-1.9674 1.9674 3.9396
1.9674 -1.9674 3.9396
1.9674 1.9674 -3.9396
ATOMIC_POSITIONS angstrom
Re 0.0000 0.0000 0.0000
Re 0.0000 1.9674 1.9698
Tc 1.9674 0.0000 1.9698
W 0.0000 0.0000 3.9396
```

* magnetization: 0.00 μB/f.u.
* space-group type: I-4m2 (119)

=====

No. 8
A geometry-optimized Re2TcW structure, computed with PBE. Values from VASP.

Quantum ESPRESSO input file:
```
&SYSTEM
  ibrav = 0, nat = 4, ntyp = 3
/
ATOMIC_SPECIES
Re 186.21 Re.upf
Tc 98.00 Tc.upf
W 183.84 W.upf
CELL_PARAMETERS angstrom
0.0000 3.1271 3.1271
3.1271 0.0000 3.1271
3.1271 3.1271 0.0000
ATOMIC_POSITIONS angstrom
Re 1.5635 1.5635 1.5635
Re 4.6906 4.6906 4.6906
Tc 0.0000 0.0000 0.0000
W 3.1271 3.1271 3.1271
```

* magnetization: 0.00 μB/f.u.
* space-group type: Fm-3m (225)

=====

No. 9
A geometry-optimized Re2TcW structure, computed with PBE. Values from VASP.

Quantum ESPRESSO input file:
```
&SYSTEM
  ibrav = 0, nat = 8, ntyp = 3
/
ATOMIC_SPECIES
Re 186.21 Re.upf
Tc 98.00 Tc.upf
W 183.84 W.upf
CELL_PARAMETERS angstrom
-2.8474 2.8474 5.6522
2.8474 -2.8474 5.6522
2.8474 2.8474 -5.6522
ATOMIC_POSITIONS angstrom
Re 4.2712 1.3605 -1.4130
Re 1.3605 1.4237 1.4130
Re -1.4237 1.4870 4.2391
Re 1.4870 1.4237 7.0652
Tc 0.0000 0.0000 0.0000
Tc 0.0000 2.8474 2.8261
W 2.8474 0.0000 2.8261
W 0.0000 0.0000 5.6522
```

* magnetization: 0.00 μB/f.u.
* space-group type: I-42d (122)

=====

No. 10
A geometry-optimized ReTc5W structure, computed with PBE. Values from VASP.

Quantum ESPRESSO input file:
```
&SYSTEM
  ibrav = 0, nat = 28, ntyp = 3
/
ATOMIC_SPECIES
Re 186.21 Re.upf
Tc 98.00 Tc.upf
W 183.84 W.upf
CELL_PARAMETERS angstrom
8.2966 0.0000 0.0000
0.0000 5.0472 0.0000
0.0000 0.0000 10.5348
ATOMIC_POSITIONS angstrom
Re 1.0070 1.2618 1.7410
Re 3.1413 3.7854 7.0084
Re 5.1553 1.2618 3.5263
Re 7.2896 3.7854 8.7937
Tc 0.1556 1.2618 9.7731
Tc 0.4116 2.5539 6.9069
Tc 0.4116 5.0169 6.9069
Tc 1.5020 3.7854 4.9243
Tc 1.7454 3.7854 2.4476
Tc 2.4029 1.2618 7.7150
Tc 2.6463 1.2618 10.1917
Tc 3.7367 0.0303 1.6395
Tc 3.7367 2.4933 1.6395
Tc 3.9927 3.7854 4.5057
Tc 4.3039 1.2618 6.0291
Tc 4.5599 2.5539 8.8953
Tc 4.5599 5.0169 8.8953
Tc 5.6503 3.7854 0.3430
Tc 5.8937 3.7854 2.8198
Tc 6.5512 1.2618 8.0872
Tc 6.7946 1.2618 5.6104
Tc 7.8850 0.0303 3.6279
Tc 7.8850 2.4933 3.6279
Tc 8.1410 3.7854 0.7617
W 1.7925 3.7854 9.3315
W 2.3558 1.2618 4.0641
W 5.9408 3.7854 6.4706
W 6.5041 1.2618 1.2032
```

* magnetization: 0.00 μB/f.u.
* space-group type: Pnma (62)

=====

No. 11
A geometry-optimized Re2TcW structure, computed with PBE. Values from VASP.

Quantum ESPRESSO input file:
```
&SYSTEM
  ibrav = 0, nat = 4, ntyp = 3
/
ATOMIC_SPECIES
Re 186.21 Re.upf
Tc 98.00 Tc.upf
W 183.84 W.upf
CELL_PARAMETERS angstrom
0.0000 3.1244 3.1244
3.1244 0.0000 3.1244
3.1244 3.1244 0.0000
ATOMIC_POSITIONS angstrom
Re 0.0000 0.0000 0.0000
Re 1.5622 1.5622 1.5622
Tc 4.6866 4.6866 4.6866
W 3.1244 3.1244 3.1244
```

* magnetization: 0.00 μB/f.u.
* space-group type: F-43m (216)

=====

No. 12
A geometry-optimized Re2TcW structure, computed with PBE. Values from VASP.

Quantum ESPRESSO input file:
```
&SYSTEM
  ibrav = 0, nat = 4, ntyp = 3
/
ATOMIC_SPECIES
Re 186.21 Re.upf
Tc 98.00 Tc.upf
W 183.84 W.upf
CELL_PARAMETERS angstrom
2.1391 1.2350 4.3483
-2.1391 1.2350 4.3483
0.0000 -2.4700 4.3483
ATOMIC_POSITIONS angstrom
Re 0.0000 0.0000 0.0000
Re 0.0000 0.0000 2.5188
Tc 0.0000 0.0000 7.8080
W 0.0000 0.0000 5.2935
```

* magnetization: 0.00 μB/f.u.
* space-group type: R3m (160)

=====

No. 13
A geometry-optimized ReTcW4 structure, computed with PBE. Values from VASP.

Quantum ESPRESSO input file:
```
&SYSTEM
  ibrav = 0, nat = 6, ntyp = 3
/
ATOMIC_SPECIES
Re 186.21 Re.upf
Tc 98.00 Tc.upf
W 183.84 W.upf
CELL_PARAMETERS angstrom
2.2312 -4.7331 0.0000
2.2312 4.7331 0.0000
0.0000 0.0000 4.4750
ATOMIC_POSITIONS angstrom
Re 0.0000 0.0000 0.0000
Tc 2.2312 0.0000 2.2375
W 2.2312 3.1361 2.2375
W 2.2312 1.5902 0.0000
W 2.2312 -1.5902 0.0000
W 2.2312 -3.1361 2.2375
```

* magnetization: 0.00 μB/f.u.
* space-group type: Cmmm (65)

=====

No. 14
A geometry-optimized Re4Tc2W structure, computed with PBE. Values from VASP.

Quantum ESPRESSO input file:
```
&SYSTEM
  ibrav = 0, nat = 7, ntyp = 3
/
ATOMIC_SPECIES
Re 186.21 Re.upf
Tc 98.00 Tc.upf
W 183.84 W.upf
CELL_PARAMETERS angstrom
4.2945 0.0000 0.0000
0.0000 4.2945 0.0000
0.0000 0.0000 6.1453
ATOMIC_POSITIONS angstrom
Re 0.0000 2.1473 1.4371
Re 0.0000 2.1473 4.7082
Re 2.1473 0.0000 1.4371
Re 2.1473 0.0000 4.7082
Tc 0.0000 0.0000 0.0000
Tc 2.1473 2.1473 3.0726
W 0.0000 0.0000 3.0726
```

* magnetization: 0.00 μB/f.u.
* space-group type: P4/mmm (123)

=====

| no. | E_form (eV/atom) |
| --- | --- |
| 1 | 0.11 |
| 2 | 0.12 |
| 3 | 0.15 |
| 4 | 0.19 |
| 5 | 0.15 |
| 6 | 0.12 |
| 7 | 0.12 |
| 8 | 0.21 |
| 9 | 1.79 |
| 10 | 0.36 |
| 11 | 0.19 |
| 12 | 0.47 |
| 13 | 0.07 |
| 14 | 0.40 |